No. 1
Below is crystalline CsTl4Pd at its relaxed geometry, with properties calculated at the PBE level.

The structure in POSCAR format:
```
CsTl4Pd
1.0
-2.732 3.927 9.828
2.732 -3.927 9.828
2.732 3.927 -9.828
Cs Tl Pd
2 8 2
Direct
0.209 0.209 0.000
0.791 0.791 0.000
0.160 0.403 0.756
0.187 0.000 0.187
0.353 0.597 0.756
0.364 0.864 0.500
0.636 0.136 0.500
0.647 0.403 0.244
0.813 0.000 0.813
0.840 0.597 0.244
0.500 0.254 0.754
0.500 0.746 0.246
```

The symmetry is Immm. The formation energy is -119 meV per atom. The density is 8.3 g/cm3.

No. 2
Below is crystalline PrAlGaPt2 at its relaxed geometry, with properties calculated at the PBE level.

The structure in POSCAR format:
```
PrAlGaPt2
1.0
-2.100 2.100 5.611
2.100 -2.100 5.611
2.100 2.100 -5.611
Pr Al Ga Pt
1 1 1 2
Direct
0.000 0.000 0.000
0.750 0.250 0.500
0.250 0.750 0.500
0.379 0.379 0.000
0.621 0.621 0.000
```

The symmetry is I-4m2. The formation energy is -1014 meV per atom. The density is 10.5 g/cm3.

No. 3
Below is crystalline YSc4Ta at its relaxed geometry, with properties calculated at the PBE level.

The structure in POSCAR format:
```
YSc4Ta
1.0
0.000 4.194 4.194
4.194 0.000 4.194
4.194 4.194 0.000
Y Sc Ta
1 4 1
Direct
0.000 0.000 0.000
0.132 0.623 0.623
0.623 0.132 0.623
0.623 0.623 0.132
0.623 0.623 0.623
0.250 0.250 0.250
```

The symmetry is F-43m. The formation energy is 498 meV per atom. The density is 5.1 g/cm3.

No. 4
Below is crystalline TlOsW4 at its relaxed geometry, with properties calculated at the PBE level.

The structure in POSCAR format:
```
TlOsW4
1.0
0.000 3.747 3.747
3.747 0.000 3.747
3.747 3.747 0.000
Tl Os W
1 1 4
Direct
0.000 0.000 0.000
0.250 0.250 0.250
0.120 0.627 0.627
0.627 0.120 0.627
0.627 0.627 0.120
0.627 0.627 0.627
```

The symmetry is F-43m. The formation energy is 829 meV per atom. The density is 17.8 g/cm3.

No. 5
Below is crystalline AcSmP2Pd2 at its relaxed geometry, with properties calculated at the PBE level.

The structure in POSCAR format:
```
AcSmP2Pd2
1.0
4.292 0.000 0.000
-2.146 3.717 0.000
0.000 0.000 8.000
Ac Sm P Pd
1 1 2 2
Direct
0.000 0.000 0.000
0.000 0.000 0.500
0.333 0.667 0.268
0.667 0.333 0.732
0.333 0.667 0.736
0.667 0.333 0.264
```

The symmetry is P-3m1. The formation energy is -1239 meV per atom. The density is 8.5 g/cm3.

No. 6
Below is crystalline Tb6Th5 at its relaxed geometry, with properties calculated at the PBE level.

The structure in POSCAR format:
```
Tb6Th5
1.0
5.104 -6.718 0.000
5.104 6.718 0.000
-2.957 0.000 5.275
Tb Th
6 5
Direct
0.049 0.318 0.596
0.181 0.181 0.084
0.318 0.049 0.596
0.682 0.951 0.404
0.819 0.819 0.916
0.951 0.682 0.404
0.237 0.763 0.000
0.366 0.634 0.500
0.500 0.500 0.000
0.634 0.366 0.500
0.763 0.237 0.000
```

The symmetry is C2/m. The formation energy is 135 meV per atom. The density is 9.7 g/cm3.

No. 7
Below is crystalline NaAgRh2 at its relaxed geometry, with properties calculated at the PBE level.

The structure in POSCAR format:
```
NaAgRh2
1.0
-3.798 3.798 2.541
3.798 -3.798 2.541
3.798 3.798 -2.541
Na Ag Rh
2 2 4
Direct
0.000 0.000 0.000
0.750 0.250 0.500
0.250 0.750 0.500
0.500 0.500 0.000
0.141 0.625 0.016
0.375 0.391 0.516
0.609 0.125 0.984
0.875 0.859 0.484
```

The symmetry is I-42d. As for the polymorph energy (0 for the lowest one): 171 meV/atom. The formation energy is 737 meV per atom. The density is 7.6 g/cm3.